Entry 1:
Entry from Alexandria via LeMat-Bulk: a geometry-optimized Mg2VAu structure (PBE).

a b c (Å): 7.6012 7.6012 6.0898
angles (deg): 51.38 51.38 90.00
Last column: nearest neighbours and their distance in Å.
Sites, in units of the cell vectors:
Mg1 0.8750 0.9055 0.7500  2 Au 2.63, 2 Mg 2.90
V1 0.2500 0.7500 0.5000  2 Au 2.86, 4 Mg 2.94
Au1 0.0000 0.0000 0.0000  4 Mg 2.63, 2 V 2.86
Mg2 0.0945 0.6250 0.2500  2 Au 2.63, 2 Mg 2.90
Au2 0.7500 0.2500 0.5000  4 Mg 2.63, 2 V 2.86
Mg3 0.6555 0.1250 0.2500  2 Au 2.63, 2 Mg 2.90
V2 0.5000 0.5000 0.0000  2 Au 2.86, 4 Mg 2.94
Mg4 0.3750 0.3445 0.7500  2 Au 2.63, 2 Mg 2.90

## Properties
Distance to the lowest polymorph of the same formula (eV per atom): 0.303
Space group: No. 122
Electronic total energy (eV per atom): -3.6154

***

Entry 2:
Entry from Alexandria via LeMat-Bulk: a geometry-optimized Tb2NdNpAs4 structure (PBE).

a b c (Å): 4.1578 7.2137 7.2048
angles (deg): 109.33 90.00 90.00
Last column: nearest neighbours and their distance in Å.
Sites, in units of the cell vectors:
Tb1 0.5000 0.0000 0.5000  6 As 2.91
As1 0.0000 0.2419 0.7469  1 Np 2.91, 3 Tb 2.91-2.97, 2 Nd 2.98
Np1 0.0000 0.0000 0.0000  6 As 2.91-2.93
Tb2 0.0000 0.5000 0.5000  6 As 2.96-2.97
Nd1 0.5000 0.5000 0.0000  6 As 2.97-2.98
As2 0.5000 0.7555 0.7498  3 Tb 2.91-2.96, 2 Np 2.93, 1 Nd 2.97
As3 0.0000 0.7581 0.2531  1 Np 2.91, 3 Tb 2.91-2.97, 2 Nd 2.98
As4 0.5000 0.2445 0.2502  3 Tb 2.91-2.96, 2 Np 2.93, 1 Nd 2.97

## Properties
Space group: No. 10
Electronic total energy (eV per atom): -7.0014

***

- What is the electronic total energy in the first record?
  -3.6154 eV per atom

***

- electronic total energy of number 1 (Mg2VAu)?
  -3.6154 eV per atom

***

- Number 1 is which compound?
  Mg2VAu

***

- Which value of electronic total energy does entry 1 give?
  -3.6154 eV per atom